Here is crystalline LiPaAs2O6 at its relaxed geometry from the Alexandria database. Energies are from PBE.

The size of the total moment comes out at 0.0 Bohr magnetons per cell. The space group is No. 58. The uncorrected formation energy is -2109 kJ/mol of formula units. As for the density of states at the Fermi level: 0.0 states/eV/cell. Its crystal system is orthorhombic.

a b c (Å): 5.379 10.125 5.930
angles (deg): 90.00 90.00 90.00
Atoms (fractional coordinates):
Li 0.000 0.000 0.000
Li 0.500 0.500 0.500
Pa 0.000 0.500 0.000
Pa 0.500 0.000 0.500
As 0.090 0.319 0.500
As 0.410 0.819 0.000
As 0.590 0.181 0.000
As 0.910 0.681 0.500
O 0.193 0.682 0.000
O 0.234 0.419 0.279
O 0.234 0.419 0.721
O 0.266 0.919 0.221
O 0.266 0.919 0.779
O 0.307 0.182 0.500
O 0.693 0.818 0.500
O 0.734 0.081 0.221
O 0.734 0.081 0.779
O 0.766 0.581 0.279
O 0.766 0.581 0.721
O 0.807 0.318 0.000